(1)
CaHoSe2 after structural relaxation. Source: the Alexandria database, functional GGA-PBE.

```
CaHoSe2
1.0
4.032 0.000 0.000
-2.016 3.492 0.000
0.000 0.000 21.497
Ca Ho Se
3 3 6
direct
0.000 0.000 0.000
0.333 0.667 0.667
0.667 0.333 0.333
0.000 0.000 0.174
0.333 0.667 0.841
0.667 0.333 0.508
0.000 0.000 0.584
0.000 0.000 0.759
0.333 0.667 0.251
0.333 0.667 0.425
0.667 0.333 0.092
0.667 0.333 0.918
```

Properties
The density of states at the Fermi level is 2.22 states/eV/f.u. The offset from the most stable computed form is 75.5 meV per atom. The total energy comes out at -5.173 eV/atom. The calculation puts the density at 5.97 g cm⁻³. Its energy relative to the elements, uncorrected is -1.79 eV/atom.


(2)
Ca3SmHo2Se6 after structural relaxation. Source: the Alexandria database, functional GGA-PBE.

```
Ca3SmHo2Se6
1.0
3.569 -6.174 0.000
3.569 6.174 0.000
-2.384 0.000 6.845
Ca Sm Ho Se
3 1 2 6
direct
0.000 0.000 0.000
0.335 0.665 0.000
0.665 0.335 0.000
0.500 0.500 0.500
0.167 0.833 0.500
0.833 0.167 0.500
0.078 0.418 0.253
0.242 0.242 0.746
0.418 0.078 0.253
0.582 0.922 0.747
0.758 0.758 0.254
0.922 0.582 0.747
```

Properties
The density of states at the Fermi level is 4.43 states/eV/f.u. The total energy comes out at -5.273 eV/atom. The calculation puts the density at 5.91 g cm⁻³. Its energy relative to the elements, uncorrected is -1.87 eV/atom.


(3)
CaSm4HoSe8 after structural relaxation. Source: the Alexandria database, functional GGA-PBE.

```
CaSm4HoSe8
1.0
4.296 2.481 6.972
-4.296 2.481 6.972
0.000 -4.961 6.972
Ca Sm Ho Se
1 4 1 8
direct
0.000 0.000 0.000
0.118 0.627 0.627
0.249 0.249 0.249
0.627 0.118 0.627
0.627 0.627 0.118
0.627 0.627 0.627
0.382 0.382 0.382
0.387 0.387 0.848
0.387 0.848 0.387
0.402 0.862 0.862
0.848 0.387 0.387
0.862 0.402 0.862
0.862 0.862 0.402
0.866 0.866 0.866
```

Properties
The density of states at the Fermi level is 3.80 states/eV/f.u. The total energy comes out at -5.610 eV/atom. The calculation puts the density at 5.36 g cm⁻³. Its energy relative to the elements, uncorrected is -1.80 eV/atom.


(4)
CaSm2HoSe4 after structural relaxation. Source: the Alexandria database, functional GGA-PBE.

```
CaSm2HoSe4
1.0
7.159 0.000 0.000
0.000 4.118 0.000
-2.356 0.000 6.830
Ca Sm Ho Se
1 2 1 4
direct
0.000 0.000 0.000
0.000 0.500 0.500
0.500 0.000 0.500
0.500 0.500 0.000
0.250 0.500 0.243
0.255 0.000 0.760
0.745 0.000 0.240
0.750 0.500 0.757
```

Properties
The density of states at the Fermi level is 3.01 states/eV/f.u. The total energy comes out at -5.578 eV/atom. The calculation puts the density at 6.77 g cm⁻³. Its energy relative to the elements, uncorrected is -1.83 eV/atom.


(5)
Ca4Sm3HoSe8 after structural relaxation. Source: the Alexandria database, functional GGA-PBE.

```
Ca4Sm3HoSe8
1.0
4.140 2.390 6.905
-4.140 2.390 6.905
0.000 -4.780 6.905
Ca Sm Ho Se
4 3 1 8
direct
0.000 0.000 0.000
0.000 0.500 0.500
0.500 0.000 0.500
0.500 0.500 0.000
0.000 0.000 0.500
0.000 0.500 0.000
0.500 0.000 0.000
0.500 0.500 0.500
0.251 0.251 0.251
0.253 0.253 0.745
0.253 0.745 0.253
0.255 0.747 0.747
0.745 0.253 0.253
0.747 0.255 0.747
0.747 0.747 0.255
0.749 0.749 0.749
```

Properties
The density of states at the Fermi level is 5.41 states/eV/f.u. The total energy comes out at -5.303 eV/atom. The calculation puts the density at 5.70 g cm⁻³. Its energy relative to the elements, uncorrected is -1.89 eV/atom.


(6)
Ca3Sm3HoSe8 after structural relaxation. Source: the Alexandria database, functional GGA-PBE.

```
Ca3Sm3HoSe8
1.0
4.155 2.399 6.883
-4.155 2.399 6.883
0.000 -4.798 6.883
Ca Sm Ho Se
3 3 1 8
direct
0.000 0.500 0.500
0.500 0.000 0.500
0.500 0.500 0.000
0.000 0.000 0.500
0.000 0.500 0.000
0.500 0.000 0.000
0.500 0.500 0.500
0.251 0.251 0.251
0.254 0.745 0.745
0.255 0.255 0.746
0.255 0.746 0.255
0.745 0.254 0.745
0.745 0.745 0.254
0.746 0.255 0.255
0.749 0.749 0.749
```

Properties
The density of states at the Fermi level is 4.39 states/eV/f.u. The total energy comes out at -5.435 eV/atom. The calculation puts the density at 5.52 g cm⁻³. Its energy relative to the elements, uncorrected is -1.93 eV/atom.


(7)
Ca3Sm2HoSe6 after structural relaxation. Source: the Alexandria database, functional GGA-PBE.

```
Ca3Sm2HoSe6
1.0
3.586 -6.204 0.000
3.586 6.204 0.000
-2.395 0.000 6.883
Ca Sm Ho Se
3 2 1 6
direct
0.000 0.000 0.000
0.331 0.669 0.000
0.669 0.331 0.000
0.166 0.834 0.500
0.834 0.166 0.500
0.500 0.500 0.500
0.090 0.417 0.251
0.257 0.257 0.750
0.417 0.090 0.251
0.583 0.910 0.749
0.743 0.743 0.250
0.910 0.583 0.749
```

Properties
The density of states at the Fermi level is 4.50 states/eV/f.u. The total energy comes out at -5.297 eV/atom. The calculation puts the density at 5.74 g cm⁻³. Its energy relative to the elements, uncorrected is -1.89 eV/atom.


(8)
Ca4SmHo3Se8 after structural relaxation. Source: the Alexandria database, functional GGA-PBE.

```
Ca4SmHo3Se8
1.0
4.111 2.373 6.843
-4.111 2.373 6.843
0.000 -4.747 6.843
Ca Sm Ho Se
4 1 3 8
direct
0.000 0.000 0.000
0.000 0.500 0.500
0.500 0.000 0.500
0.500 0.500 0.000
0.500 0.500 0.500
0.000 0.000 0.500
0.000 0.500 0.000
0.500 0.000 0.000
0.244 0.752 0.752
0.248 0.248 0.248
0.248 0.248 0.756
0.248 0.756 0.248
0.752 0.244 0.752
0.752 0.752 0.244
0.752 0.752 0.752
0.756 0.248 0.248
```

Properties
The density of states at the Fermi level is 5.27 states/eV/f.u. The total energy comes out at -5.266 eV/atom. The calculation puts the density at 5.96 g cm⁻³. Its energy relative to the elements, uncorrected is -1.87 eV/atom.


- The lowest energy relative to the elements, uncorrected belongs to which entry?
  Ca3Sm3HoSe8